The following is a DFT calculation (GGA-PBE) of crystalline CrPb2N at its relaxed geometry.

- formation energy from raw total energies (eV/atom) = 0.887
- E (eV per atom) = -5.45

Cell: 6.9694 6.9694 7.1919 Å, 90.00 90.00 90.00°
Closest atoms and distances in Å follow each position.
Space group I-42d (No. 122)
Unique sites:
1 Cr 0.0000 0.0000 0.0000 [4 per cell]  4 Pb 2.93
2 Pb 0.1876 0.2500 0.6250 [8 per cell]  2 N 2.36
3 N 0.0000 0.0000 0.5000 [4 per cell]  4 Pb 2.36